1.
4
Lattice="4.180 -1.809 2.305 -0.284 -1.767 4.781 0.454 -5.004 0.903" Properties=species:S:1:pos:R:3 comment="PBE NaY2Ni, optimized geometry" de_polymorph_mev_per_atom=225 total_energy_ev_per_atom=-4.88 volume_a3_per_atom=23.51 formation_enthalpy_0k_ev_per_atom=0.126 pbc="T T T"
Y 1.087 -2.145 1.997
Y 3.262 -6.435 5.991
Ni 2.175 -4.290 3.994
Na 0.000 0.000 0.000


2.
7
Lattice="5.075 0.000 0.000 0.000 5.075 0.000 2.537 2.537 5.524" Properties=species:S:1:pos:R:3 comment="PBE Li4SbO2, optimized geometry" total_energy_ev_per_atom=-3.35 volume_a3_per_atom=20.32 e_form_raw_ev_per_atom=-0.25 pbc="T T T"
Sb 0.000 0.000 0.000
O 5.075 5.075 4.469
O 2.537 2.537 1.054
Li 5.075 5.075 2.709
Li 2.537 2.537 2.815
Li 0.000 2.537 0.000
Li 2.537 0.000 0.000


3.
5
Lattice="4.598 0.000 0.000 0.000 4.598 0.000 0.000 0.000 4.382" Properties=species:S:1:pos:R:3 comment="PBE MnCrPS2, optimized geometry" de_polymorph_mev_per_atom=0 total_energy_ev_per_atom=-6.09 volume_a3_per_atom=18.52 e_form_raw_ev_per_atom=0.40 pbc="T T T"
Cr 2.299 2.299 2.191
S 0.000 2.299 0.000
S 2.299 0.000 0.000
Mn 0.000 0.000 0.000
P 0.000 0.000 2.191


4.
8
Lattice="-4.021 0.409 -0.225 -0.531 -6.923 -3.092 -0.550 -0.995 8.029" Properties=species:S:1:pos:R:3 comment="PBE Sm4CoSeI2, optimized geometry" total_energy_ev_per_atom=-5.05 volume_a3_per_atom=29.89 e_form_raw_ev_per_atom=-0.97 pbc="T T T"
Sm -2.215 -1.339 0.739
Sm -2.887 -6.170 3.974
Sm -0.575 -2.498 5.752
Sm -0.505 -5.421 -0.815
Co 0.000 0.000 0.000
Se -2.276 -3.257 -1.658
I -2.286 -0.293 3.902
I -0.540 -3.959 2.469


5.
8
Lattice="5.176 0.000 0.000 0.000 5.176 0.000 2.588 2.588 10.682" Properties=species:S:1:pos:R:3 comment="PBE NaSrCd2, optimized geometry" total_energy_ev_per_atom=-1.17 volume_a3_per_atom=35.77 formation_enthalpy_0k_ev_per_atom=0.034 pbc="T T T"
Sr 0.000 0.000 0.000
Sr 5.176 2.588 5.341
Na 2.588 2.588 0.000
Na 2.588 5.176 5.341
Cd 3.274 1.294 2.670
Cd 1.902 3.882 2.670
Cd 3.882 4.490 8.011
Cd 6.470 5.862 8.011


6.
4
Lattice="-1.604 0.633 2.969 -2.986 -0.938 -1.413 1.314 -7.737 2.360" Properties=species:S:1:pos:R:3 comment="PBE Y2AgCl, optimized geometry" de_polymorph_mev_per_atom=158 total_energy_ev_per_atom=-5.01 volume_a3_per_atom=24.15 e_form_raw_ev_per_atom=-0.61 pbc="T T T"
Ag -1.966 -2.087 1.368
Cl -1.309 -5.955 2.548
Y 0.023 -0.135 0.041
Y 0.634 -3.734 1.139


7.
4
Lattice="5.487 0.000 0.000 2.743 4.752 0.000 2.743 1.584 4.480" Properties=species:S:1:pos:R:3 comment="PBE Ce2TmMg, optimized geometry" de_polymorph_mev_per_atom=63 total_energy_ev_per_atom=-4.33 volume_a3_per_atom=29.20 formation_enthalpy_0k_ev_per_atom=0.156 pbc="T T T"
Mg 0.000 0.000 0.000
Tm 5.487 3.168 2.240
Ce 2.743 1.584 1.120
Ce 8.230 4.752 3.360


8.
4
Lattice="5.367 0.000 0.000 0.000 3.517 0.033 0.000 2.732 5.544" Properties=species:S:1:pos:R:3 comment="PBE SbMoPb2, optimized geometry" total_energy_ev_per_atom=-4.93 volume_a3_per_atom=26.04 e_form_raw_ev_per_atom=0.67 pbc="T T T"
Mo 2.684 4.687 4.182
Pb 0.000 5.568 5.485
Pb 0.000 3.805 2.880
Sb 2.684 1.562 1.394